Entry 1:
A relaxed TaBiPbO6 crystal. Source: Alexandria via LeMat-Bulk, functional PBE.

The space group is P-31c (No. 163) and the conventional cell measures 5.5700, 5.5700 and 10.7065 Å, with angles of 90.00, 90.00 and 120.00 degrees. Symmetry generates all atoms from Ta at (0.3333, 0.6667, 0.2500), Bi at (0.3333, 0.6667, 0.7500), Pb at (0.0000, 0.0000, 0.0000) and O at (0.0180, 0.3885, 0.1432).

The calculation puts the density of states at the Fermi level at 0.0082 states/eV per atom. The spin magnetization comes out at 0.000 Bohr magnetons per cell. Its calculated total energy is -128.5 eV/cell.

---

Entry 2:
A relaxed TlPtBr crystal. Source: Alexandria via LeMat-Bulk, functional PBE.

The space group is Fmm2 (No. 42) and the conventional cell measures 4.4201, 6.1003 and 11.5433 Å, with angles of 90.00, 90.00 and 90.00 degrees. Symmetry generates all atoms from Tl at (0.0000, 0.0000, 0.0000), Pt at (0.0000, 0.0000, 0.3740) and Br at (0.0000, 0.0000, 0.7278).

The calculation puts the density of states at the Fermi level at 0.5013 states/eV per atom. The spin magnetization comes out at 0.000 Bohr magnetons per cell. For the energy above the most stable polymorph in this dataset, the calculation gives 160 meV/atom.

---

Entry 3:
A relaxed BaMn2Te crystal. Source: Alexandria via LeMat-Bulk, functional PBE.

The space group is R3m (No. 160, hexagonal axes) and the conventional cell measures 4.2958, 4.2958 and 19.0986 Å, with angles of 90.00, 90.00 and 120.00 degrees. Symmetry generates all atoms from Ba at (0.0000, 0.0000, 0.0000), Mn at (0.0000, 0.0000, 0.2053), Mn at (0.0000, 0.0000, 0.5224) and Te at (0.0000, 0.0000, 0.7976).

The calculation puts the density of states at the Fermi level at 1.0348 states/eV per atom. The spin magnetization comes out at 0.959 Bohr magnetons per cell. Its calculated total energy is -71.5 eV/cell.

---

Entry 4:
A relaxed ZrGaB3 crystal. Source: Alexandria via LeMat-Bulk, functional PBE.

The space group is Pm-3m (No. 221) and the conventional cell measures 4.5170, 4.5170 and 4.5170 Å, with angles of 90.00, 90.00 and 90.00 degrees. Symmetry generates all atoms from Zr at (0.0000, 0.0000, 0.0000), Ga at (0.5000, 0.5000, 0.5000) and B at (0.0000, 0.0000, 0.5000).

The calculation puts the density of states at the Fermi level at 1.0783 states/eV per atom. The spin magnetization comes out at 0.000 Bohr magnetons per cell. For the energy above the most stable polymorph in this dataset, the calculation gives 506 meV/atom. The formation energy comes out at 847 kJ/mol of formula units.

---

Entry 5:
A relaxed ZnMoH crystal. Source: Alexandria via LeMat-Bulk, functional PBE.

The space group is P1 (No. 1) and the conventional cell measures 2.7692, 2.9604 and 9.2692 Å, with angles of 82.30, 86.19 and 65.90 degrees. Symmetry generates all atoms from Zn at (0.0000, 0.0000, 0.0000), Zn at (0.4214, 0.2809, 0.7673), Mo at (0.3353, 0.1644, 0.2628), Mo at (0.8254, 0.5742, 0.4987), H at (0.1500, 0.9021, 0.5941) and H at (0.6693, 0.5691, 0.1678).

The calculation puts the density of states at the Fermi level at 0.3564 states/eV per atom. The spin magnetization comes out at 0.000 Bohr magnetons per cell. For the energy above the most stable polymorph in this dataset, the calculation gives 0 meV/atom.

---

Entry 6:
A relaxed Li3PaPd12 crystal. Source: Alexandria via LeMat-Bulk, functional PBE.

The space group is P4/mmm (No. 123) and the conventional cell measures 4.0624, 4.0624 and 15.1249 Å, with angles of 90.00, 90.00 and 90.00 degrees. Symmetry generates all atoms from Li at (0.0000, 0.0000, 0.0000), Li at (0.0000, 0.0000, 0.2377), Pa at (0.0000, 0.0000, 0.5000), Pd at (0.0000, 0.5000, 0.1191), Pd at (0.0000, 0.5000, 0.3669), Pd at (0.5000, 0.5000, 0.0000), Pd at (0.5000, 0.5000, 0.2404) and Pd at (0.5000, 0.5000, 0.5000).

The calculation puts the density of states at the Fermi level at 0.9928 states/eV per atom. The spin magnetization comes out at 0.001 Bohr magnetons per cell. The formation energy comes out at -649 kJ/mol of formula units.

---

Entry 7:
A relaxed TcP2IrS crystal. Source: Alexandria via LeMat-Bulk, functional PBE.

The space group is P4/mmm (No. 123) and the conventional cell measures 4.5059, 4.5059 and 4.8743 Å, with angles of 90.00, 90.00 and 90.00 degrees. Symmetry generates all atoms from Tc at (0.0000, 0.0000, 0.0000), P at (0.0000, 0.5000, 0.5000), Ir at (0.5000, 0.5000, 0.5000) and S at (0.5000, 0.5000, 0.0000).

The calculation puts the density of states at the Fermi level at 0.8870 states/eV per atom. The spin magnetization comes out at 2.449 Bohr magnetons per cell. For the energy above the most stable polymorph in this dataset, the calculation gives 57 meV/atom.

---

Entry 8:
A relaxed TaTeP crystal. Source: Alexandria via LeMat-Bulk, functional PBE.

The space group is I4mm (No. 107) and the conventional cell measures 3.2541, 3.2541 and 12.1586 Å, with angles of 90.00, 90.00 and 90.00 degrees. Symmetry generates all atoms from Ta at (0.0000, 0.0000, 0.0000), Te at (0.0000, 0.0000, 0.6585) and P at (0.0000, 0.0000, 0.4031).

The calculation puts the density of states at the Fermi level at 0.5843 states/eV per atom. The spin magnetization comes out at 0.000 Bohr magnetons per cell. For the energy above the most stable polymorph in this dataset, the calculation gives 223 meV/atom.